A relaxed CsSiAuSe2S crystal. Source: the Open Quantum Materials Database, functional PBE.

```
12
Lattice="1.861 -8.999 0.000 1.861 8.999 0.000 0.000 0.000 9.837" Properties=species:S:1:pos:R:3 pbc="T T T"
Cs 1.861 4.930 7.378
Cs 1.861 -4.930 2.459
Si 1.861 0.000 0.000
Si 1.861 0.000 4.918
Au 1.861 7.087 2.459
Au 1.861 -7.087 7.378
Se 1.861 7.258 0.047
Se 1.861 7.258 4.872
Se 1.861 -7.258 4.965
Se 1.861 -7.258 9.790
S 1.861 0.591 2.459
S 1.861 -0.591 7.378
```

Properties
As for the space group: Cmcm, No. 63. Its total energy is -3.747 eV/atom.